5
Lattice="4.200 0.000 0.000 0.000 4.200 0.000 0.000 0.000 4.200" Properties=species:S:1:pos:R:3 comment="PBE+U GaW3O, relaxed" final_energy_ev_per_atom=-5.277 dos_ef_per_ev_cell=1.6 pbc="T T T"
O 0.000 0.000 0.000
Ga 2.100 2.100 2.100
W 0.000 2.100 0.000
W 0.000 0.000 2.100
W 2.100 0.000 0.000